{
  "formula": "Ir2PtBr",
  "functional": "meta-GGA SCAN",
  "state": "single point on PBEsol structure",
  "raw_formation_energy_kj_per_mol_fu": 422.5,
  "dft_energy_ev_per_atom": -56.868,
  "de_polymorph_mev_per_atom": 396.9,
  "sg": "F-43m, No. 216",
  "density_g_cm3": 17.5,
  "m_tot_mub_per_atom": 0.00,
  "lattice_angstrom": [[4.4572, 0.0000, 0.0000], [2.2286, 3.8601, 0.0000], [2.2286, 1.2867, 3.6393]],
  "species": ["Ir", "Ir", "Pt", "Br"],
  "fractional_positions": [[0.0000, 0.0000, 0.0000], [0.2500, 0.2500, 0.2500], [0.5000, 0.5000, 0.5000], [0.7500, 0.7500, 0.7500]]
}

{
  "formula": "Na2GaCuF7",
  "functional": "meta-GGA SCAN",
  "state": "single point on PBEsol structure",
  "raw_formation_energy_kj_per_mol_fu": -2786.4,
  "dft_energy_ev_per_atom": -8.512,
  "sg": "C2/c, No. 15",
  "density_g_cm3": 3.8,
  "m_tot_mub_per_atom": 0.09,
  "lattice_angstrom": [[-1.0882, 5.6638, 4.2508], [-3.6803, -0.5277, -6.1244], [-6.7460, -9.5208, 5.1145]],
  "species": ["F", "F", "F", "F", "F", "F", "F", "F", "F", "F", "F", "F", "F", "F", "F", "F", "F", "F", "F", "F", "F", "F", "F", "F", "F", "F", "F", "F", "Ga", "Ga", "Ga", "Ga", "Cu", "Cu", "Cu", "Cu", "Na", "Na", "Na", "Na", "Na", "Na", "Na", "Na"],
  "fractional_positions": [[0.6617, 0.0866, 0.1561], [0.5723, 0.2867, 0.4659], [0.0972, 0.2972, 0.0508], [0.0626, 0.9824, 0.1733], [0.0707, 0.0982, 0.6570], [0.7463, 0.0463, 0.4492], [0.6786, 0.5974, 0.1738], [0.9293, 0.9018, 0.3430], [0.1869, 0.3067, 0.4682], [0.4305, 0.5056, 0.3439], [0.8131, 0.6933, 0.5318], [0.9374, 0.0176, 0.8267], [0.3383, 0.9134, 0.8439], [0.3091, 0.8893, 0.3267], [0.6615, 0.2813, 0.9682], [0.0764, 0.4952, 0.6738], [0.9412, 0.4138, 0.8430], [0.4277, 0.7133, 0.5341], [0.2537, 0.9537, 0.5508], [0.9236, 0.5048, 0.3262], [0.5695, 0.4944, 0.6561], [0.3385, 0.7187, 0.0318], [0.3208, 0.1064, 0.0341], [0.6909, 0.1107, 0.6733], [0.0588, 0.5862, 0.1570], [0.9028, 0.7028, 0.9492], [0.3214, 0.4026, 0.8262], [0.6792, 0.8936, 0.9659], [0.5000, 0.0000, 0.0000], [0.5000, 0.5000, 0.5000], [0.9932, 0.7432, 0.2500], [0.0068, 0.2568, 0.7500], [0.0000, 0.0000, 0.0000], [0.0000, 0.5000, 0.0000], [0.5000, 0.0000, 0.5000], [0.0000, 0.0000, 0.5000], [0.9616, 0.7192, 0.7497], [0.5180, 0.2680, 0.2500], [0.5305, 0.7880, 0.2497], [0.4695, 0.2120, 0.7503], [0.0000, 0.5000, 0.5000], [0.0384, 0.2808, 0.2503], [0.5000, 0.5000, 0.0000], [0.4820, 0.7320, 0.7500]]
}

{
  "formula": "Cu2NiIr",
  "functional": "meta-GGA SCAN",
  "state": "single point on PBEsol structure",
  "dft_energy_ev_per_atom": -29.366,
  "de_polymorph_mev_per_atom": 7.7,
  "sg": "C2/m, No. 12",
  "density_g_cm3": 13.2,
  "ef_ev_per_atom": 0.052,
  "m_tot_mub_per_atom": 0.00,
  "lattice_angstrom": [[-0.4077, 0.7495, 2.4194], [-3.5436, -2.6020, 0.2089], [3.2759, -3.0425, 0.1344]],
  "species": ["Ir", "Cu", "Cu", "Ni"],
  "fractional_positions": [[0.5000, 0.0000, 0.0000], [0.2526, 0.2564, 0.5053], [0.7474, 0.7436, 0.4947], [0.0000, 0.5000, 0.0000]]
}

{
  "formula": "Mg2TlBi",
  "functional": "meta-GGA SCAN",
  "state": "single point on PBEsol structure",
  "dft_energy_ev_per_atom": -40.332,
  "sg": "Fm-3m, No. 225",
  "density_g_cm3": 7.6,
  "ef_ev_per_atom": -0.111,
  "m_tot_mub_per_atom": 0.00,
  "lattice_angstrom": [[-0.7536, -2.1330, -4.7196], [-2.8563, -4.3598, -0.4755], [-4.7273, 0.1995, -2.2373]],
  "species": ["Bi", "Mg", "Mg", "Tl"],
  "fractional_positions": [[0.5000, 0.5000, 0.5000], [0.7500, 0.7500, 0.7500], [0.2500, 0.2500, 0.2500], [0.0000, 0.0000, 0.0000]]
}

{
  "formula": "ZrZn",
  "functional": "meta-GGA SCAN",
  "state": "single point on PBEsol structure",
  "dft_energy_ev_per_atom": -22.348,
  "sg": "Cm, No. 8",
  "density_g_cm3": 7.3,
  "ef_ev_per_atom": -0.241,
  "m_tot_mub_per_atom": 0.00,
  "lattice_angstrom": [[3.0860, 0.0000, 0.0000], [-1.5430, 5.6326, -0.0104], [0.0000, -1.8064, 6.1813]],
  "species": ["Zr", "Zr", "Zr", "Zn", "Zn", "Zn"],
  "fractional_positions": [[0.3127, 0.6254, 0.1168], [0.9941, 0.9882, 0.4610], [0.2949, 0.5898, 0.6071], [0.6318, 0.2636, 0.8158], [0.9762, 0.9523, 0.9355], [0.6236, 0.2472, 0.2305]]
}

{
  "formula": "SiBr2",
  "functional": "meta-GGA SCAN",
  "state": "single point on PBEsol structure",
  "raw_formation_energy_kj_per_mol_fu": 22.9,
  "dft_energy_ev_per_atom": -16.233,
  "sg": "I4/mcm, No. 140",
  "density_g_cm3": 4.5,
  "m_tot_mub_per_atom": 0.00,
  "lattice_angstrom": [[5.6619, -0.0256, 0.0000], [-1.9049, 5.3318, 0.0000], [-1.8785, -2.6531, 4.6357]],
  "species": ["Br", "Br", "Br", "Br", "Si", "Si"],
  "fractional_positions": [[0.3166, 0.8166, 0.1332], [0.8166, 0.6834, 0.5000], [0.6834, 0.1834, 0.8668], [0.1834, 0.3166, 0.5000], [0.2500, 0.2500, 0.0000], [0.7500, 0.7500, 0.0000]]
}

{
  "formula": "TlZn2Mo",
  "functional": "meta-GGA SCAN",
  "state": "single point on PBEsol structure",
  "dft_energy_ev_per_atom": -32.866,
  "de_polymorph_mev_per_atom": 233.0,
  "sg": "F-43m, No. 216",
  "density_g_cm3": 10.7,
  "ef_ev_per_atom": 0.703,
  "m_tot_mub_per_atom": 0.64,
  "lattice_angstrom": [[-3.7824, 0.6460, -2.4618], [-0.2576, -1.6246, -4.2519], [-2.7418, -3.5209, -0.9327]],
  "species": ["Zn", "Zn", "Mo", "Tl"],
  "fractional_positions": [[0.2500, 0.2500, 0.2500], [0.0000, 0.0000, 0.0000], [0.5000, 0.5000, 0.5000], [0.7500, 0.7500, 0.7500]]
}

{
  "formula": "RbCd3Ag",
  "functional": "meta-GGA SCAN",
  "state": "single point on PBEsol structure",
  "dft_energy_ev_per_atom": -28.643,
  "sg": "Pm-3m, No. 221",
  "density_g_cm3": 5.9,
  "ef_ev_per_atom": 0.027,
  "m_tot_mub_per_atom": 0.00,
  "lattice_angstrom": [[5.3074, 0.0000, 0.0000], [0.0000, 5.3074, 0.0000], [0.0000, 0.0000, 5.3074]],
  "species": ["Ag", "Cd", "Cd", "Cd", "Rb"],
  "fractional_positions": [[0.0000, 0.0000, 0.0000], [0.5000, 0.0000, 0.0000], [0.0000, 0.0000, 0.5000], [0.0000, 0.5000, 0.0000], [0.5000, 0.5000, 0.5000]]
}